First-principles (PBE) data for a relaxed structure of SrGdZnHg, as listed in Alexandria via LeMat-Bulk.

- crystal system = cubic
- calculated formation energy (eV per atom) = -0.336

Cell lengths 7.619, 7.619, 7.619 Å; angles 90.00, 90.00, 90.00 degrees
Space group F-43m (No. 216)
Unique sites:
Sr1 0.000 0.000 0.000
Gd1 0.000 0.000 0.500
Zn1 0.250 0.250 0.750
Hg1 0.250 0.250 0.250